An optimized crystal structure of Li2Se, computed with PBE-GGA.

Cell lengths 7.040, 7.040, 3.984 Å; angles 90.00, 90.00, 148.56 degrees
Sites, in units of the cell vectors:
Li: 0.917 0.083 0.750
Li: 0.748 0.252 0.250
Li: 0.083 0.917 0.250
Li: 0.252 0.748 0.750
Se: 0.628 0.372 0.750
Se: 0.372 0.628 0.250

Calculated values
The value obtained for the energy relative to the elements, uncorrected is -1.093 eV/atom. The value obtained for the density of states at the Fermi level is 0.000 states/eV per atom.

An optimized crystal structure of Li5Se, computed with PBE-GGA.

Cell lengths 3.974, 4.023, 6.532 Å; angles 107.93, 90.00, 90.00 degrees
Sites, in units of the cell vectors:
Li: 0.500 0.161 0.322
Li: 0.000 0.347 0.694
Li: 0.000 0.653 0.306
Li: 0.500 0.500 0.000
Li: 0.500 0.839 0.678
Se: 0.000 0.000 0.000

Calculated values
The value obtained for the energy relative to the elements, uncorrected is -0.522 eV/atom. The relative energy among the computed polymorphs comes out at 0.0000 eV per atom. The value obtained for the density of states at the Fermi level is 0.297 states/eV per atom.

An optimized crystal structure of LiSe2, computed with PBE-GGA.

Cell lengths 5.224, 5.224, 13.236 Å; angles 90.00, 90.00, 120.00 degrees
Sites, in units of the cell vectors:
Li: 0.667 0.333 0.430
Li: 0.333 0.667 0.570
Li: 0.667 0.333 0.070
Li: 0.333 0.667 0.930
Se: 0.333 0.166 0.250
Se: 0.667 0.834 0.750
Se: 0.166 0.333 0.750
Se: 0.166 0.834 0.750
Se: 0.000 0.000 0.500
Se: 0.834 0.166 0.250
Se: 0.834 0.667 0.250
Se: 0.000 0.000 0.000

Calculated values
The value obtained for the energy relative to the elements, uncorrected is -0.219 eV/atom. The relative energy among the computed polymorphs comes out at 0.2949 eV per atom. The value obtained for the density of states at the Fermi level is 0.626 states/eV per atom.

An optimized crystal structure of Li2Se, computed with PBE-GGA.

Cell lengths 8.759, 8.759, 8.759 Å; angles 156.38, 156.38, 33.65 degrees
Sites, in units of the cell vectors:
Se: 0.000 0.000 0.000
Se: 0.750 0.250 0.500
Li: 0.316 0.816 0.500
Li: 0.566 0.566 0.000
Li: 0.434 0.434 0.000
Li: 0.184 0.684 0.500

Calculated values
The value obtained for the energy relative to the elements, uncorrected is -0.761 eV/atom. The value obtained for the density of states at the Fermi level is 0.131 states/eV per atom.

An optimized crystal structure of Li7Se6, computed with PBE-GGA.

Cell lengths 9.119, 9.119, 9.119 Å; angles 38.13, 38.13, 38.13 degrees
Sites, in units of the cell vectors:
Li: 0.500 0.500 0.500
Li: 0.970 0.412 0.412
Li: 0.588 0.588 0.030
Li: 0.412 0.970 0.412
Li: 0.588 0.030 0.588
Li: 0.030 0.588 0.588
Li: 0.412 0.412 0.970
Se: 0.344 0.344 0.344
Se: 0.819 0.819 0.819
Se: 0.181 0.181 0.181
Se: 0.952 0.952 0.952
Se: 0.656 0.656 0.656
Se: 0.048 0.048 0.048

Calculated values
The value obtained for the energy relative to the elements, uncorrected is -0.590 eV/atom. The value obtained for the density of states at the Fermi level is 0.215 states/eV per atom.

An optimized crystal structure of Li2Se, computed with PBE-GGA.

Cell lengths 4.212, 4.212, 8.346 Å; angles 78.89, 78.89, 59.56 degrees
Sites, in units of the cell vectors:
Se: 0.361 0.361 0.087
Se: 0.583 0.583 0.525
Li: 0.280 0.280 0.407
Li: 0.893 0.893 0.610
Li: 0.664 0.664 0.204
Li: 0.051 0.051 0.002

Calculated values
The value obtained for the energy relative to the elements, uncorrected is -1.169 eV/atom. The value obtained for the density of states at the Fermi level is 0.000 states/eV per atom.

energy relative to the elements, uncorrected of number 6 (Li2Se)?
-1.169 eV/atom